Density functional theory data (PBE with a Hubbard U) for an optimized crystal structure of AcScFe2O6.

Output
Density, g/cm3: 6.5
VASP energy, Ry per atom: -0.5507

Unit cell a=5.437 b=5.505 c=5.616 alpha=60.57 beta=62.00 gamma=61.07
Each line ends with the local moment (μB).
Fractional positions:
Ac (0.778, 0.775, 0.678)  0.00
O (0.257, 0.887, 0.214)  0.03
O (0.200, 0.319, 0.745)  -0.01
O (0.625, 0.269, 0.223)  0.14
O (0.734, 0.204, 0.744)  0.02
O (0.328, 0.726, 0.733)  0.11
O (0.886, 0.640, 0.207)  0.06
Sc (0.310, 0.310, 0.074)  0.03
Fe (0.523, 0.521, 0.434)  4.28
Fe (0.018, 0.010, 0.963)  3.22